Entry 1:
BaCd12Ga4, relaxed, DFT PBE-GGA; DFT formation energy = 0.0636 eV/atom; space group = Im-3, No. 204; density = 6.42 g cm⁻³; electronic total energy = -23.9 eV per cell; magnetization = 0.00 μB/f.u.; V = 26.85 A^3/atom
1.0
-6.118 -4.708 3.315
7.420 -2.500 3.046
-1.275 8.060 1.997
Cd Ga Ba
12 4 1
direct
0.491 0.841 0.650
0.350 0.509 0.159
0.192 0.841 0.350
0.159 0.650 0.808
0.650 0.491 0.841
0.509 0.159 0.350
0.159 0.350 0.509
0.841 0.350 0.192
0.841 0.650 0.491
0.350 0.192 0.841
0.650 0.808 0.159
0.808 0.159 0.650
0.500 0.500 0.500
0.000 0.000 0.500
0.500 0.000 0.000
0.000 0.500 0.000
0.000 0.000 0.000

---

Entry 2:
Ba2Cd2Ga, relaxed, DFT PBE-GGA; energy above the lowest structure with this stoichiometry = 0.1378 eV/atom; DFT formation energy = -0.1863 eV/atom; space group = P4/mbm, No. 127; density = 5.54 g cm⁻³; electronic total energy = -19.3 eV per cell; magnetization = 0.00 μB/f.u.; V = 34.11 A^3/atom
1.0
-2.793 -1.667 7.244
7.433 -0.621 2.723
-0.003 5.272 1.212
Ga Cd Ba
2 4 4
direct
0.500 0.500 0.000
0.000 0.000 0.000
0.871 0.629 0.000
0.371 0.871 0.000
0.129 0.371 0.000
0.629 0.129 0.000
0.817 0.317 0.500
0.317 0.183 0.500
0.183 0.683 0.500
0.683 0.817 0.500

---

Entry 3:
Ba2Cd3Ga, relaxed, DFT PBE-GGA; DFT formation energy = -0.3507 eV/atom; space group = Cm, No. 8; density = 6.03 g cm⁻³; electronic total energy = -11.7 eV per cell; magnetization = 0.00 μB/f.u.; V = 31.28 A^3/atom
1.0
4.776 0.000 2.000
2.235 5.981 1.366
0.056 -0.351 6.569
Ba Ga Cd
2 1 3
direct
0.546 0.196 0.711
0.448 0.807 0.298
0.162 0.409 0.267
0.852 0.596 0.700
0.825 0.235 0.115
0.167 0.757 0.909

---

Entry 4:
BaCdGa, relaxed, DFT PBE-GGA; DFT formation energy = -0.3595 eV/atom; space group = Pmma, No. 51; density = 5.44 g cm⁻³; electronic total energy = -13.9 eV per cell; magnetization = 0.00 μB/f.u.; V = 32.50 A^3/atom
1.0
5.051 0.000 0.000
0.000 4.540 0.000
0.000 0.000 8.505
Cd Ba Ga
2 2 2
direct
0.812 0.216 0.293
0.812 0.716 0.500
0.312 0.216 0.666
0.312 0.716 0.127
0.811 0.716 0.827
0.811 0.216 0.966

---

Entry 5:
Ba2CdGa2, relaxed, DFT PBE-GGA; energy above the lowest structure with this stoichiometry = 0.1576 eV/atom; DFT formation energy = -0.1715 eV/atom; space group = I4/mmm, No. 139; density = 4.83 g cm⁻³; electronic total energy = -11.7 eV per cell; magnetization = 0.00 μB/f.u.; V = 36.23 A^3/atom
1.0
-4.734 -2.849 -3.549
4.017 -5.023 -1.326
-1.727 -5.936 0.993
Ba Ga Cd
2 2 1
direct
0.250 0.750 0.500
0.750 0.250 0.500
0.644 0.644 0.711
0.356 0.356 0.289
0.000 0.000 0.000

---

Entry 6:
BaCdGa2, relaxed, DFT PBE-GGA; DFT formation energy = -0.3773 eV/atom; space group = Pnma, No. 62; density = 5.91 g cm⁻³; electronic total energy = -83.2 eV per cell; magnetization = 0.00 μB/f.u.; V = 27.34 A^3/atom
1.0
-3.708 -2.182 1.657
-3.105 -3.271 -11.256
8.392 -13.122 1.499
Cd Ba Ga
8 8 16
direct
0.750 0.559 0.942
0.250 0.059 0.558
0.750 0.941 0.442
0.750 0.319 0.191
0.250 0.681 0.809
0.250 0.819 0.309
0.250 0.441 0.058
0.750 0.181 0.691
0.750 0.017 0.203
0.750 0.483 0.703
0.250 0.751 0.555
0.250 0.983 0.797
0.250 0.749 0.055
0.750 0.251 0.945
0.750 0.249 0.445
0.250 0.517 0.297
0.750 0.716 0.387
0.750 0.539 0.479
0.250 0.039 0.021
0.250 0.225 0.278
0.250 0.461 0.521
0.250 0.042 0.371
0.250 0.216 0.113
0.750 0.542 0.129
0.750 0.784 0.887
0.750 0.775 0.722
0.250 0.458 0.871
0.750 0.725 0.222
0.250 0.275 0.778
0.250 0.284 0.613
0.750 0.958 0.629
0.750 0.961 0.979

---

Entry 7:
Ba2CdGa10, relaxed, DFT PBE-GGA; DFT formation energy = -0.2751 eV/atom; space group = P2_1/c, No. 14; density = 5.86 g cm⁻³; electronic total energy = -77.2 eV per cell; magnetization = 0.00 μB/f.u.; V = 23.64 A^3/atom
1.0
6.079 0.000 -0.561
0.000 6.662 0.000
-1.929 0.000 15.358
Ga Cd Ba
20 2 4
direct
0.764 0.115 0.531
0.236 0.615 0.969
0.191 0.852 0.269
0.236 0.885 0.469
0.895 0.661 0.337
0.910 0.414 0.865
0.422 0.151 0.610
0.809 0.352 0.231
0.578 0.651 0.890
0.090 0.914 0.635
0.764 0.385 0.031
0.578 0.849 0.390
0.910 0.086 0.365
0.422 0.349 0.110
0.105 0.161 0.163
0.090 0.586 0.135
0.191 0.648 0.769
0.809 0.148 0.731
0.105 0.339 0.663
0.895 0.839 0.837
0.000 0.000 0.000
0.000 0.500 0.500
0.406 0.363 0.355
0.594 0.637 0.645
0.406 0.137 0.855
0.594 0.863 0.145

---

Entry 8:
BaCdGa, relaxed, DFT PBE-GGA; DFT formation energy = -0.1914 eV/atom; space group = I4mm, No. 107; density = 5.87 g cm⁻³; electronic total energy = -6.4 eV per cell; magnetization = 0.00 μB/f.u.; V = 30.12 A^3/atom
1.0
3.830 0.000 0.000
0.000 3.830 0.000
-1.915 -1.915 6.160
Ga Ba Cd
1 1 1
direct
0.256 0.256 0.512
0.947 0.947 0.894
0.647 0.647 0.293

---

Entry 9:
Ba3Cd3Ga, relaxed, DFT PBE-GGA; DFT formation energy = -0.3142 eV/atom; space group = C2/m, No. 12; density = 5.35 g cm⁻³; electronic total energy = -27.5 eV per cell; magnetization = 0.00 μB/f.u.; V = 36.31 A^3/atom
1.0
-4.865 -0.641 -0.893
-1.233 -5.774 -3.063
-4.123 -7.852 14.168
Ba Cd Ga
6 6 2
direct
0.767 0.708 0.759
0.599 0.721 0.082
0.452 0.700 0.396
0.401 0.279 0.918
0.548 0.300 0.604
0.233 0.292 0.241
0.938 0.882 0.242
0.062 0.118 0.758
0.894 0.133 0.080
0.142 0.259 0.458
0.858 0.741 0.542
0.106 0.867 0.920
0.250 0.897 0.603
0.750 0.103 0.397

---

Entry 10:
Ba4CdGa3, relaxed, DFT PBE-GGA; DFT formation energy = -0.3198 eV/atom; space group = Pmm2, No. 25; density = 4.89 g cm⁻³; electronic total energy = -20.2 eV per cell; magnetization = 0.00 μB/f.u.; V = 36.98 A^3/atom
1.0
5.325 0.000 0.000
0.000 4.738 0.000
0.000 0.000 11.723
Ga Ba Cd
3 4 1
direct
0.000 0.000 0.448
0.000 0.500 0.554
0.500 0.000 0.940
0.500 0.500 0.363
0.500 0.000 0.645
0.000 0.500 0.849
0.000 0.000 0.146
0.500 0.500 0.054

---

Entry 11:
Ba4CdGa, relaxed, DFT PBE-GGA; energy above the lowest structure with this stoichiometry = 0.1002 eV/atom; DFT formation energy = -0.1461 eV/atom; space group = P4/mmm, No. 123; density = 4.19 g cm⁻³; electronic total energy = -12.5 eV per cell; magnetization = 0.00 μB/f.u.; V = 48.26 A^3/atom
1.0
5.836 0.000 -0.002
0.000 5.837 -0.004
0.003 0.005 8.499
Ba Cd Ga
4 1 1
direct
0.001 0.498 0.732
0.001 0.497 0.264
0.501 0.997 0.264
0.501 0.997 0.732
0.501 0.497 0.998
0.001 0.997 0.498

---

Entry 12:
Ba4CdGa, relaxed, DFT PBE-GGA; energy above the lowest structure with this stoichiometry = 0.0000 eV/atom; DFT formation energy = -0.2463 eV/atom; space group = P4/mmm, No. 123; density = 4.45 g cm⁻³; electronic total energy = -13.1 eV per cell; magnetization = 0.00 μB/f.u.; V = 45.53 A^3/atom
1.0
4.223 -0.001 0.000
0.001 4.223 0.000
0.000 0.000 15.316
Ba Cd Ga
4 1 1
direct
0.000 0.000 0.634
0.500 0.500 0.876
0.000 0.000 0.366
0.500 0.500 0.124
0.500 0.500 0.500
0.000 0.000 0.000

---

Entry 13:
Ba2CdGa5, relaxed, DFT PBE-GGA; DFT formation energy = -0.3906 eV/atom; space group = Cmcm, No. 63; density = 5.70 g cm⁻³; electronic total energy = -46.0 eV per cell; magnetization = 0.00 μB/f.u.; V = 26.81 A^3/atom
1.0
-1.536 2.263 3.558
-8.533 -1.521 -5.546
-1.508 -8.212 4.571
Cd Ba Ga
2 4 10
direct
0.570 0.140 0.250
0.430 0.860 0.750
0.784 0.568 0.750
0.216 0.432 0.250
0.000 0.000 0.000
0.000 0.000 0.500
0.640 0.280 0.003
0.170 0.340 0.885
0.640 0.280 0.497
0.580 0.160 0.750
0.420 0.840 0.250
0.830 0.660 0.385
0.360 0.720 0.997
0.170 0.340 0.615
0.830 0.660 0.115
0.360 0.720 0.503

---

Entry 14:
Ba6Cd3Ga, relaxed, DFT PBE-GGA; DFT formation energy = -0.2279 eV/atom; space group = P2_1/m, No. 11; density = 4.88 g cm⁻³; electronic total energy = -39.2 eV per cell; magnetization = 0.00 μB/f.u.; V = 41.90 A^3/atom
1.0
-5.631 0.448 -1.529
-0.426 -10.666 -1.559
-3.420 2.199 13.240
Ba Ga Cd
12 2 6
direct
0.750 0.487 0.883
0.750 0.129 0.641
0.750 0.744 0.517
0.250 0.134 0.877
0.250 0.256 0.483
0.750 0.886 0.839
0.750 0.866 0.123
0.250 0.642 0.686
0.750 0.358 0.314
0.250 0.114 0.161
0.250 0.871 0.359
0.250 0.513 0.117
0.250 0.938 0.639
0.750 0.062 0.361
0.250 0.784 0.966
0.250 0.549 0.388
0.750 0.650 0.258
0.250 0.350 0.742
0.750 0.216 0.034
0.750 0.451 0.612

---

Entry 15:
Ba4Cd2Ga, relaxed, DFT PBE-GGA; DFT formation energy = -0.2479 eV/atom; space group = R-3m, No. 166; density = 4.68 g cm⁻³; electronic total energy = -14.3 eV per cell; magnetization = 0.00 μB/f.u.; V = 42.75 A^3/atom
1.0
-1.958 -0.755 5.571
0.691 -5.255 2.712
8.226 0.906 6.194
Cd Ba Ga
2 4 1
direct
0.250 0.250 0.250
0.750 0.750 0.750
0.121 0.121 0.636
0.372 0.372 0.884
0.628 0.628 0.116
0.879 0.879 0.364
0.000 0.000 0.000

---

Entry 16:
Ba3Cd7Ga4, relaxed, DFT PBE-GGA; DFT formation energy = -0.2926 eV/atom; space group = C2/m, No. 12; density = 6.55 g cm⁻³; electronic total energy = -28.4 eV per cell; magnetization = 0.00 μB/f.u.; V = 26.74 A^3/atom
1.0
-3.383 3.629 0.466
-5.466 -2.589 7.115
1.902 4.145 8.177
Ga Cd Ba
4 7 3
direct
0.659 0.477 0.205
0.341 0.523 0.795
0.139 0.078 0.644
0.861 0.922 0.356
0.000 0.000 0.000
0.149 0.625 0.078
0.659 0.200 0.482
0.341 0.800 0.518
0.505 0.801 0.188
0.851 0.375 0.922
0.495 0.199 0.812
0.297 0.197 0.208
0.000 0.500 0.500
0.703 0.803 0.792

---

Entry 17:
Ba4Cd3Ga, relaxed, DFT PBE-GGA; DFT formation energy = -0.3213 eV/atom; space group = P4/mmm, No. 123; density = 5.29 g cm⁻³; electronic total energy = -16.0 eV per cell; magnetization = 0.00 μB/f.u.; V = 37.52 A^3/atom
1.0
-1.881 0.723 3.662
3.472 -1.168 2.013
5.638 16.227 -0.307
Cd Ga Ba
3 1 4
direct
0.500 0.500 0.500
0.500 0.500 0.754
0.500 0.500 0.246
0.500 0.500 0.000
0.000 0.000 0.372
0.000 0.000 0.116
0.000 0.000 0.884
0.000 0.000 0.628

---

Entry 18:
BaCd3Ga2, relaxed, DFT PBE-GGA; DFT formation energy = -0.2771 eV/atom; space group = C2/m, No. 12; density = 6.64 g cm⁻³; electronic total energy = -24.8 eV per cell; magnetization = 0.00 μB/f.u.; V = 25.59 A^3/atom
1.0
-1.968 3.374 -2.444
-3.285 -7.561 -3.448
-4.103 2.636 6.943
Cd Ba Ga
6 2 4
direct
0.683 0.366 0.442
0.317 0.634 0.558
0.599 0.197 0.693
0.961 0.922 0.633
0.401 0.803 0.307
0.039 0.078 0.367
0.151 0.302 0.073
0.849 0.698 0.927
0.193 0.385 0.696
0.480 0.960 0.837
0.807 0.615 0.304
0.520 0.040 0.163

---

Entry 19:
Ba2Cd4Ga3Ge, relaxed, DFT PBE-GGA; DFT formation energy = -0.3225 eV/atom; space group = P-4m2, No. 115; density = 6.38 g cm⁻³; electronic total energy = -24.4 eV per cell; magnetization = 0.00 μB/f.u.; V = 26.20 A^3/atom
1.0
-4.690 0.899 0.160
-0.830 -4.546 1.214
0.913 2.794 11.092
Cd Ba Ga Ge
4 2 3 1
direct
0.000 0.500 0.371
0.500 0.500 0.000
0.000 0.000 0.000
0.500 0.000 0.629
0.000 0.500 0.745
0.500 0.000 0.255
0.000 0.000 0.500
0.500 0.000 0.868
0.000 0.500 0.132
0.500 0.500 0.500

---

Entry 20:
Ba2CdGa3Ge4, relaxed, DFT PBE-GGA; DFT formation energy = -0.3610 eV/atom; space group = P-4m2, No. 115; density = 6.06 g cm⁻³; electronic total energy = -35.9 eV per cell; magnetization = 0.00 μB/f.u.; V = 24.29 A^3/atom
1.0
4.846 0.000 0.000
0.000 4.846 0.000
0.000 0.000 10.346
Ge Ga Cd Ba
4 3 1 2
direct
0.500 0.000 0.634
0.000 0.500 0.366
0.500 0.500 0.000
0.000 0.000 0.000
0.000 0.500 0.116
0.000 0.000 0.500
0.500 0.000 0.884
0.500 0.500 0.500
0.000 0.500 0.757
0.500 0.000 0.243

---

Entry 21:
BaCdGa2Ge, relaxed, DFT PBE-GGA; DFT formation energy = -0.3769 eV/atom; space group = Imm2, No. 44; density = 6.22 g cm⁻³; electronic total energy = -15.4 eV per cell; magnetization = 0.00 μB/f.u.; V = 24.67 A^3/atom
1.0
-3.373 -0.985 3.128
1.012 -4.605 -0.358
4.858 3.283 2.735
Ge Cd Ga Ba
1 1 2 1
direct
0.829 0.829 0.657
0.190 0.690 0.380
0.691 0.191 0.382
0.062 0.062 0.125
0.440 0.440 0.881